Entry from the Alexandria database: a relaxed structure of CoCuSbTe2 (PBE-GGA).

Cell lengths 5.1525, 5.1525, 4.6980 Å; angles 90.00, 90.00, 90.00 degrees
Space group P4/mmm (No. 123)
Asymmetric unit:
Co  0.0000  0.0000  0.0000 (multiplicity 1)
Cu  0.5000  0.5000  0.5000 (multiplicity 1)
Sb  0.0000  0.0000  0.5000 (multiplicity 1)
Te  0.0000  0.5000  0.0000 (multiplicity 2)

Computed properties:
Formation energy (no corrections) in eV/atom: 0.59